Here is a geometry-optimized AsH structure from Alexandria via LeMat-Bulk. Energies are from PBE-GGA.

Cell: 4.4604 4.4604 4.4604 Å, 90.00 90.00 90.00°
With the nearest neighbours (Å) after each atom.
Space group Fm-3m (No. 225)
Unique sites:
As1 0.0000 0.0000 0.0000  6 H 2.23
H1 0.0000 0.0000 0.5000  6 As 2.23

Values from the calculation:
E_tot ... -3.156 eV per atom
Density of states at the Fermi level ... 1.85 states/eV/cell
Theoretical density ... 5683 kg/m³